A relaxed structure of CaDyGa3. Source: the Alexandria database, functional PBE.

Results
**Calculated total energy**: -73.28 eV for the cell shown
**Density of states at the Fermi level**: 3.4 states/eV/f.u.
**Formation energy**: -0.527 eV/atom
**Excess energy over the best structure of this formula in the dataset**: 19.8 kJ/mol of formula units

Cell and atoms, written as CIF:
```
data_CaDyGa3
_chemical_formula_sum 'Ca4 Dy4 Ga12'
_space_group_name_H-M_alt 'C m c m'
_space_group_IT_number 63
_space_group_name_Hall '-C 2c 2'
_cell_length_a 4.035
_cell_length_b 26.451
_cell_length_c 4.317
_cell_angle_alpha 90.00
_cell_angle_beta 90.00
_cell_angle_gamma 90.00
loop_
_atom_site_label
_atom_site_fract_x
_atom_site_fract_y
_atom_site_fract_z
Ca1 0.000 0.075 0.250
Dy1 0.000 0.207 0.750
Ga1 0.000 0.323 0.750
Ga2 0.000 0.380 0.250
Ga3 0.000 0.476 0.250
```